*i*
The following is a DFT calculation (PBE) of crystalline LaPSCl2 at its relaxed geometry.

Values from the calculation:
- total magnetic moment (μB per formula unit) = 0.1
- space-group type = P4/mmm

Structure (CIF):
```
data_LaPSCl2
_cell_length_a 4.856
_cell_length_b 4.856
_cell_length_c 4.833
_cell_angle_alpha 90.00
_cell_angle_beta 90.00
_cell_angle_gamma 90.00
_symmetry_space_group_name_H-M 'P 1'
_symmetry_Int_Tables_number 1
loop_
_symmetry_equiv_pos_as_xyz
'x,y,z'
loop_
_atom_site_label
_atom_site_fract_x
_atom_site_fract_y
_atom_site_fract_z
_atom_site_occupancy
La1 0.500 0.500 0.500 1
Cl1 0.000 0.500 0.000 1
Cl2 0.500 0.000 0.000 1
P1 0.000 0.000 0.500 1
S1 0.000 0.000 0.000 1
```

*ii*
The following is a DFT calculation (PBE) of crystalline LaPSCl2 at its relaxed geometry.

Values from the calculation:
- total magnetic moment (μB per formula unit) = 0.4
- space-group type = P4/mmm

Structure (CIF):
```
data_LaPSCl2
_cell_length_a 4.821
_cell_length_b 4.821
_cell_length_c 4.903
_cell_angle_alpha 90.00
_cell_angle_beta 90.00
_cell_angle_gamma 90.00
_symmetry_space_group_name_H-M 'P 1'
_symmetry_Int_Tables_number 1
loop_
_symmetry_equiv_pos_as_xyz
'x,y,z'
loop_
_atom_site_label
_atom_site_fract_x
_atom_site_fract_y
_atom_site_fract_z
_atom_site_occupancy
P1 0.000 0.000 0.000 1
La1 0.500 0.500 0.500 1
S1 0.000 0.000 0.500 1
Cl1 0.000 0.500 0.000 1
Cl2 0.500 0.000 0.000 1
```

*iii*
The following is a DFT calculation (PBE) of crystalline LaPSCl2 at its relaxed geometry.

Values from the calculation:
- total magnetic moment (μB per formula unit) = 2.0
- space-group type = P4/mmm

Structure (CIF):
```
data_LaPSCl2
_cell_length_a 5.504
_cell_length_b 5.504
_cell_length_c 5.757
_cell_angle_alpha 90.00
_cell_angle_beta 90.00
_cell_angle_gamma 90.00
_symmetry_space_group_name_H-M 'P 1'
_symmetry_Int_Tables_number 1
loop_
_symmetry_equiv_pos_as_xyz
'x,y,z'
loop_
_atom_site_label
_atom_site_fract_x
_atom_site_fract_y
_atom_site_fract_z
_atom_site_occupancy
S1 0.000 0.000 0.500 1
Cl1 0.000 0.500 0.000 1
Cl2 0.500 0.000 0.000 1
P1 0.500 0.500 0.500 1
La1 0.000 0.000 0.000 1
```

Ranking the structures above by stability puts *iii* first and *i* last.